VASP calculation (PBE) on a relaxed Bi2RhSe crystal.

Values from the calculation:
Magnetic moment   0.0 μB/cell
Raw formation energy   5.82 kJ per mole of atoms
D(E_F)   5.20 states/eV per cell

a = 7.8899 Å, b = 7.8899 Å, c = 7.8899 Å
α = 132.42°, β = 132.42°, γ = 69.57°
Positions (direct):
Bi 0.0810 0.6250 0.9560
Bi 0.3750 0.3310 0.4560
Bi 0.6690 0.1250 0.0440
Bi 0.8750 0.9190 0.5440
Rh 0.0000 0.0000 0.0000
Rh 0.7500 0.2500 0.5000
Se 0.2500 0.7500 0.5000
Se 0.5000 0.5000 0.0000